# 1
La2GaAgRu (PBE, relaxed); SG = P2_1/m (11); crystal system = monoclinic; energy above the most stable polymorph in this dataset = 0.0000 eV per atom; total magnetic moment = 0.0000 μB per atom; energy of formation = -187 kJ/mol of formula units; DOS at the Fermi energy = 3.24 states/eV/f.u.
1.0
-4.139 0.504 1.044
0.483 -5.982 4.800
1.817 6.619 4.011
La Ga Ag Ru
4 2 2 2
direct
0.750 0.869 0.647
0.750 0.729 0.043
0.250 0.131 0.353
0.250 0.271 0.957
0.250 0.549 0.672
0.750 0.451 0.328
0.250 0.666 0.339
0.750 0.334 0.661
0.250 0.867 0.893
0.750 0.133 0.107

---

# 2
La3Th3WN8 (PBE, relaxed); uncorrected formation energy = -1256 meV per atom; SG = R-3m (166); crystal system = trigonal; total magnetic moment = 0.0000 μB per atom; DOS at the Fermi energy = 4.49 states/eV/f.u.
1.0
7.110 0.000 0.000
-3.555 6.158 -0.022
0.000 -4.084 5.967
La Th W N
3 3 1 8
direct
0.000 0.000 0.000
0.000 0.500 0.000
0.500 0.500 0.000
0.500 0.000 0.500
0.500 0.500 0.500
0.000 0.500 0.500
0.000 0.000 0.500
0.256 0.513 0.269
0.744 0.487 0.731
0.791 0.582 0.303
0.209 0.418 0.697
0.791 0.012 0.303
0.209 0.988 0.697
0.221 0.012 0.303
0.779 0.988 0.697

---

# 3
ScCdTc4 (PBE, relaxed); SG = F-43m (216); crystal system = cubic; total magnetic moment = 0.0000 μB per atom; energy of formation = 25 kJ/mol of formula units; DOS at the Fermi energy = 5.58 states/eV/f.u.
1.0
2.008 -3.742 -3.073
3.423 -3.449 1.966
-1.420 -4.999 0.689
Sc Cd Tc
1 1 4
direct
0.000 0.000 0.000
0.750 0.750 0.750
0.874 0.375 0.375
0.375 0.375 0.874
0.375 0.874 0.375
0.375 0.375 0.375

---

# 4
LaNiPH2 (PBE, relaxed); SG = Cmcm (63); crystal system = orthorhombic; total magnetic moment = 0.0000 μB per atom; total energy = -51.91 eV for the cell shown; DOS at the Fermi energy = 1.07 states/eV/f.u.
1.0
-1.982 -2.811 1.797
2.830 -2.062 -4.294
4.930 -1.071 3.764
La Ni P H
2 2 2 4
direct
0.715 0.430 0.750
0.285 0.570 0.250
0.000 0.000 0.000
0.000 0.000 0.500
0.441 0.883 0.750
0.559 0.117 0.250
0.149 0.298 0.943
0.851 0.702 0.057
0.149 0.298 0.557
0.851 0.702 0.443

---

# 5
Zn2NiSb (PBE, relaxed); uncorrected formation energy = 124 meV per atom; SG = R3m (160); crystal system = trigonal; total magnetic moment = 0.0000 μB per atom; DOS at the Fermi energy = 1.61 states/eV/f.u.
1.0
7.216 -0.355 -0.210
6.536 3.077 -0.210
6.536 1.294 2.800
Ni Sb Zn
1 1 2
direct
0.504 0.504 0.504
0.764 0.764 0.764
0.990 0.990 0.990
0.241 0.241 0.241

---

# 6
Tm3FeBi (PBE, relaxed); SG = C2/m (12); crystal system = monoclinic; energy above the most stable polymorph in this dataset = 0.0398 eV per atom; total magnetic moment = 0.2275 μB per atom; energy of formation = -158 kJ/mol of formula units; DOS at the Fermi energy = 4.91 states/eV/f.u.
1.0
3.721 0.000 0.000
-1.861 7.864 -1.454
0.000 -4.789 9.702
Tm Fe Bi
6 2 2
direct
0.822 0.645 0.730
0.178 0.355 0.270
0.578 0.157 0.943
0.422 0.843 0.057
0.875 0.750 0.289
0.125 0.250 0.711
0.238 0.477 0.049
0.762 0.523 0.951
0.409 0.818 0.576
0.591 0.182 0.424

---

# 7
ErPd6Pt2 (PBE, relaxed); SG = P4_2/mnm (136); crystal system = tetragonal; total magnetic moment = 0.0008 μB per atom; energy of formation = 463 kJ/mol of formula units; DOS at the Fermi energy = 20.05 states/eV/f.u.
1.0
5.136 0.000 0.000
0.000 5.136 0.000
0.000 0.000 15.666
Er Pd Pt
2 12 4
direct
0.500 0.500 0.000
0.000 0.000 0.500
0.685 0.685 0.216
0.685 0.685 0.784
0.674 0.674 0.500
0.826 0.174 0.000
0.815 0.185 0.284
0.815 0.185 0.716
0.185 0.815 0.284
0.185 0.815 0.716
0.174 0.826 0.000
0.326 0.326 0.500
0.315 0.315 0.216
0.315 0.315 0.784
0.500 0.500 0.359
0.500 0.500 0.641
0.000 0.000 0.141
0.000 0.000 0.859

---

# 8
SrTl2P2Pt7 (PBE, relaxed); SG = C2/m (12); crystal system = monoclinic; total magnetic moment = 0.0000 μB per atom; energy of formation = -444 kJ/mol of formula units; DOS at the Fermi energy = 4.54 states/eV/f.u.
1.0
4.065 -0.003 -0.147
0.002 4.065 -0.147
1.451 1.450 14.141
Sr Tl P Pt
1 2 2 7
direct
0.000 0.000 0.000
0.914 0.914 0.400
0.086 0.086 0.600
0.560 0.560 0.752
0.440 0.440 0.248
0.500 0.500 0.000
0.426 0.426 0.408
0.574 0.574 0.592
0.960 0.462 0.164
0.462 0.960 0.164
0.538 0.040 0.836
0.040 0.538 0.836

---

# 9
SrSc2CrRh (PBE, relaxed); SG = P4/mmm (123); crystal system = tetragonal; total magnetic moment = 0.0990 μB per atom; energy of formation = 949 kJ/mol of formula units; DOS at the Fermi energy = 6.26 states/eV/f.u.
1.0
-1.330 2.121 4.399
-4.509 -1.208 -0.781
0.773 -4.410 2.360
Sc Sr Rh Cr
2 1 1 1
direct
0.000 0.000 0.500
0.500 0.000 0.000
0.000 0.000 0.000
0.000 0.500 0.000
0.500 0.500 0.500

---

# 10
NiBiAs (PBE, relaxed); SG = P2_13 (198); crystal system = cubic; energy above the most stable polymorph in this dataset = 0.0296 eV per atom; total magnetic moment = 0.0000 μB per atom; energy of formation = -32 kJ/mol of formula units; DOS at the Fermi energy = 0.26 states/eV/f.u.
1.0
-4.215 -3.625 2.718
-2.680 -0.998 -5.487
3.653 -4.915 -0.890
As Bi Ni
4 4 4
direct
0.630 0.630 0.630
0.870 0.370 0.130
0.130 0.870 0.370
0.370 0.130 0.870
0.366 0.366 0.366
0.134 0.634 0.866
0.866 0.134 0.634
0.634 0.866 0.134
0.026 0.026 0.026
0.474 0.974 0.526
0.526 0.474 0.974
0.974 0.526 0.474